Entry 1:
! Rb3Tl2Cd2Bi4 | Alexandria | PBE | optimized geometry; values from VASP
! total DFT energy (no corrections)	-0.08912	Ha/atom
! M_tot	0.00	μB/cell
! formation enthalpy at 0 K	-0.15	eV per atom
&SYSTEM
  ibrav = 0, nat = 11, ntyp = 4
/
ATOMIC_SPECIES
Rb 85.47 Rb.upf
Tl 204.38 Tl.upf
Cd 112.41 Cd.upf
Bi 208.98 Bi.upf
CELL_PARAMETERS angstrom
5.057 0.000 0.000
-2.528 4.379 0.000
0.000 0.000 20.027
ATOMIC_POSITIONS angstrom
Rb 0.000 0.000 0.000
Rb 0.000 0.000 5.840
Rb 0.000 0.000 14.187
Tl 0.000 2.920 3.613
Tl 2.528 1.460 16.414
Cd 0.000 2.920 11.162
Cd 2.528 1.460 8.866
Bi 0.000 2.920 8.067
Bi 0.000 2.920 17.475
Bi 2.528 1.460 2.553
Bi 2.528 1.460 11.961

***

Entry 2:
! Er4AlCd | Alexandria | PBE | optimized geometry; values from VASP
! total DFT energy (no corrections)	-0.13898	Ha/atom
! M_tot	0.00	μB/cell
! polymorph energy (0 for the lowest one)	246	meV per atom
! formation enthalpy at 0 K	0.04	eV per atom
&SYSTEM
  ibrav = 0, nat = 12, ntyp = 3
/
ATOMIC_SPECIES
Er 167.26 Er.upf
Al 26.98 Al.upf
Cd 112.41 Cd.upf
CELL_PARAMETERS angstrom
8.720 0.000 0.000
0.000 5.038 0.000
-2.899 0.000 8.275
ATOMIC_POSITIONS angstrom
Er 0.003 0.000 3.049
Er -1.446 2.519 7.282
Er 2.907 0.000 0.993
Er 1.458 2.519 5.226
Er 4.363 2.519 3.049
Er 2.914 0.000 7.282
Er 7.267 2.519 0.993
Er 5.818 0.000 5.226
Al 0.000 0.000 0.000
Al 4.360 2.519 0.000
Cd -1.449 2.519 4.138
Cd 2.910 0.000 4.138

***

Entry 3:
! LiMgSc2Ag4 | Alexandria | PBE | optimized geometry; values from VASP
! total DFT energy (no corrections)	-0.13540	Ha/atom
! M_tot	0.00	μB/cell
! formation enthalpy at 0 K	-0.24	eV per atom
&SYSTEM
  ibrav = 0, nat = 8, ntyp = 4
/
ATOMIC_SPECIES
Li 6.94 Li.upf
Mg 24.30 Mg.upf
Sc 44.96 Sc.upf
Ag 107.87 Ag.upf
CELL_PARAMETERS angstrom
2.376 1.372 7.725
-2.376 1.372 7.725
0.000 -2.744 7.725
ATOMIC_POSITIONS angstrom
Li 0.000 0.000 0.000
Mg 0.000 0.000 11.587
Sc 0.000 0.000 5.793
Sc 0.000 0.000 17.380
Ag 0.000 0.000 2.873
Ag 0.000 0.000 8.668
Ag 0.000 0.000 14.506
Ag 0.000 0.000 20.300

***

Entry 4:
! La2SmF | Alexandria | PBE | optimized geometry; values from VASP
! total DFT energy (no corrections)	-0.19406	Ha/atom
! M_tot	0.00	μB/cell
! formation energy without anion corrections	-1169	meV/atom
&SYSTEM
  ibrav = 0, nat = 12, ntyp = 3
/
ATOMIC_SPECIES
La 138.91 La.upf
Sm 150.36 Sm.upf
F 19.00 F.upf
CELL_PARAMETERS angstrom
3.878 0.000 0.000
-1.939 3.359 0.000
0.000 0.000 26.626
ATOMIC_POSITIONS angstrom
La 0.000 0.000 5.939
La 0.000 0.000 20.687
La 0.000 2.239 11.812
La 0.000 2.239 23.689
La 1.939 1.120 2.937
La 1.939 1.120 14.814
Sm 0.000 0.000 0.000
Sm 0.000 2.239 17.751
Sm 1.939 1.120 8.875
F 0.000 0.000 13.313
F 0.000 2.239 4.438
F 1.939 1.120 22.188

***

Entry 5:
! CeZr2Sn | Alexandria | PBE | optimized geometry; values from VASP
! total DFT energy (no corrections)	-0.25634	Ha/atom
! M_tot	0.00	μB/cell
! polymorph energy (0 for the lowest one)	143	meV per atom
! formation enthalpy at 0 K	-0.22	eV per atom
&SYSTEM
  ibrav = 0, nat = 4, ntyp = 3
/
ATOMIC_SPECIES
Ce 140.12 Ce.upf
Zr 91.22 Zr.upf
Sn 118.71 Sn.upf
CELL_PARAMETERS angstrom
3.730 0.000 0.000
0.000 3.730 0.000
0.000 0.000 6.870
ATOMIC_POSITIONS angstrom
Ce 0.000 0.000 0.000
Zr 1.865 1.865 1.868
Zr 1.865 1.865 5.002
Sn 0.000 0.000 3.435

***

Entry 6:
! SrPtBr2 | Alexandria | PBE | optimized geometry; values from VASP
! total DFT energy (no corrections)	-0.13775	Ha/atom
! M_tot	0.00	μB/cell
! formation energy without anion corrections	-981	meV/atom
! polymorph energy (0 for the lowest one)	162	meV per atom
&SYSTEM
  ibrav = 0, nat = 12, ntyp = 3
/
ATOMIC_SPECIES
Sr 87.62 Sr.upf
Pt 195.08 Pt.upf
Br 79.90 Br.upf
CELL_PARAMETERS angstrom
4.421 0.000 0.000
-2.211 3.829 0.000
0.000 0.000 22.462
ATOMIC_POSITIONS angstrom
Sr 0.000 0.000 0.000
Sr 0.000 2.552 14.975
Sr 2.211 1.276 7.487
Pt 0.000 0.000 5.531
Pt 0.000 2.552 20.506
Pt 2.211 1.276 13.018
Br 0.000 0.000 12.708
Br 0.000 0.000 16.683
Br 0.000 2.552 5.220
Br 0.000 2.552 9.196
Br 2.211 1.276 1.708
Br 2.211 1.276 20.195

***

Entry 7:
! CeYInCu | Alexandria | PBE | optimized geometry; values from VASP
! total DFT energy (no corrections)	-0.18402	Ha/atom
! M_tot	5.09	μB/cell
! formation enthalpy at 0 K	-0.20	eV per atom
&SYSTEM
  ibrav = 0, nat = 16, ntyp = 4
/
ATOMIC_SPECIES
Ce 140.12 Ce.upf
Y 88.91 Y.upf
In 114.82 In.upf
Cu 63.55 Cu.upf
CELL_PARAMETERS angstrom
7.403 0.000 0.000
0.000 7.403 0.000
0.000 0.000 7.403
ATOMIC_POSITIONS angstrom
Ce 0.000 0.000 0.000
Ce 0.000 3.702 3.702
Ce 3.702 0.000 3.702
Ce 3.702 3.702 0.000
Y 0.000 0.000 3.702
Y 0.000 3.702 0.000
Y 3.702 0.000 0.000
Y 3.702 3.702 3.702
In 1.851 1.851 5.553
In 1.851 5.553 1.851
In 5.553 1.851 1.851
In 5.553 5.553 5.553
Cu 1.851 1.851 1.851
Cu 1.851 5.553 5.553
Cu 5.553 1.851 5.553
Cu 5.553 5.553 1.851

***

Entry 8:
! SiHW2N | Alexandria | PBE | optimized geometry; values from VASP
! total DFT energy (no corrections)	-0.28537	Ha/atom
! M_tot	0.00	μB/cell
&SYSTEM
  ibrav = 0, nat = 5, ntyp = 4
/
ATOMIC_SPECIES
Si 28.09 Si.upf
H 1.01 H.upf
W 183.84 W.upf
N 14.01 N.upf
CELL_PARAMETERS angstrom
4.232 0.000 0.000
0.000 4.232 0.000
0.000 0.000 3.024
ATOMIC_POSITIONS angstrom
Si 0.000 0.000 0.000
H 2.116 2.116 1.512
W 0.000 2.116 1.512
W 2.116 0.000 1.512
N 2.116 2.116 0.000

***

Entry 9:
! BeHg2SeS | Alexandria | PBE | optimized geometry; values from VASP
! total DFT energy (no corrections)	-0.06604	Ha/atom
! M_tot	0.00	μB/cell
! formation energy without anion corrections	591	meV/atom
&SYSTEM
  ibrav = 0, nat = 5, ntyp = 4
/
ATOMIC_SPECIES
Be 9.01 Be.upf
Hg 200.59 Hg.upf
Se 78.96 Se.upf
S 32.06 S.upf
CELL_PARAMETERS angstrom
5.609 0.000 0.000
0.000 5.609 0.000
0.000 0.000 4.003
ATOMIC_POSITIONS angstrom
Be 0.000 0.000 0.000
Hg 0.000 2.804 2.002
Hg 2.804 0.000 2.002
Se 0.000 0.000 2.002
S 2.804 2.804 0.000

***

Entry 10:
! Ce8SiIr3I4 | Alexandria | PBE | optimized geometry; values from VASP
! total DFT energy (no corrections)	-0.22845	Ha/atom
! M_tot	8.20	μB/cell
! formation energy without anion corrections	-862	meV/atom
&SYSTEM
  ibrav = 0, nat = 16, ntyp = 4
/
ATOMIC_SPECIES
Ce 140.12 Ce.upf
Si 28.09 Si.upf
Ir 192.22 Ir.upf
I 126.90 I.upf
CELL_PARAMETERS angstrom
4.224 2.439 7.823
-4.224 2.439 7.823
0.000 -4.878 7.823
ATOMIC_POSITIONS angstrom
Ce -2.170 -1.253 13.206
Ce 0.000 0.000 5.389
Ce 0.000 -2.506 10.263
Ce -2.170 1.253 10.263
Ce 2.170 -1.253 13.206
Ce 0.000 2.506 13.206
Ce 0.000 0.000 18.081
Ce 2.170 1.253 10.263
Si 0.000 0.000 11.735
Ir -4.224 0.000 11.735
Ir -2.112 1.219 3.912
Ir 2.112 1.219 3.912
I 0.000 0.000 0.000
I -2.112 -1.219 7.823
I -2.112 1.219 15.646
I 0.000 2.439 7.823

***

Entry 11:
! CoIr2Se | Alexandria | PBE | optimized geometry; values from VASP
! total DFT energy (no corrections)	-0.23264	Ha/atom
! M_tot	4.26	μB/cell
! formation energy without anion corrections	748	meV/atom
&SYSTEM
  ibrav = 0, nat = 16, ntyp = 3
/
ATOMIC_SPECIES
Co 58.93 Co.upf
Ir 192.22 Ir.upf
Se 78.96 Se.upf
CELL_PARAMETERS angstrom
5.200 0.000 0.000
0.000 5.200 0.000
0.000 0.000 11.650
ATOMIC_POSITIONS angstrom
Co 0.000 0.000 0.000
Co 0.000 2.600 2.912
Co 2.600 0.000 8.737
Co 2.600 2.600 5.825
Ir 1.225 1.300 1.456
Ir 1.300 3.825 4.369
Ir 1.300 3.975 10.193
Ir 1.375 1.300 7.281
Ir 3.825 3.900 7.281
Ir 3.900 1.225 10.193
Ir 3.900 1.375 4.369
Ir 3.975 3.900 1.456
Se 0.000 0.000 5.825
Se 0.000 2.600 8.737
Se 2.600 0.000 2.912
Se 2.600 2.600 0.000

***

Entry 12:
! Y3Sc2Se6 | Alexandria | PBE | optimized geometry; values from VASP
! total DFT energy (no corrections)	-0.23957	Ha/atom
! M_tot	0.00	μB/cell
! formation energy without anion corrections	-1704	meV/atom
&SYSTEM
  ibrav = 0, nat = 11, ntyp = 3
/
ATOMIC_SPECIES
Y 88.91 Y.upf
Sc 44.96 Sc.upf
Se 78.96 Se.upf
CELL_PARAMETERS angstrom
1.991 1.150 19.998
-1.991 1.150 19.998
0.000 -2.300 19.998
ATOMIC_POSITIONS angstrom
Y 0.000 0.000 0.000
Y 0.000 0.000 16.583
Y 0.000 0.000 43.412
Sc 0.000 0.000 26.932
Sc 0.000 0.000 33.062
Se 0.000 0.000 5.196
Se 0.000 0.000 11.765
Se 0.000 0.000 21.720
Se 0.000 0.000 38.274
Se 0.000 0.000 48.229
Se 0.000 0.000 54.799